NaYCdF6 | GGA-PBE | relaxed

abc: 5.229 5.229 10.644
angles: 90.00 90.00 90.00
Space group P4_2nm (No. 102)
Asymmetric unit:
Na1 0.000 0.000 0.000
Y1 0.000 0.000 0.334
Cd1 0.000 0.000 0.668
F1 0.188 0.188 0.496
F2 0.196 0.196 0.178
F3 0.202 0.202 0.829



NaZnCd2F8 | GGA-PBE | relaxed

abc: 5.000 6.919 5.072
angles: 90.00 91.08 90.00
Space group P2/m (No. 10)
Asymmetric unit:
Na1 0.000 0.000 0.000
Zn1 0.000 0.500 0.000
Cd1 0.500 0.253 0.500
F1 0.190 0.286 0.184
F2 0.289 0.500 0.705
F3 0.306 0.000 0.687



NaZn2CdF8 | GGA-PBE | relaxed

abc: 5.367 5.367 11.030
angles: 90.00 90.00 90.00
Space group I-4 (No. 82)
Asymmetric unit:
Na1 0.000 0.000 0.000
Zn1 0.000 0.000 0.500
Zn2 0.000 0.500 0.250
Cd1 0.000 0.500 0.750
F1 0.176 0.259 0.585
F2 0.188 0.755 0.170



Na2ZnCdF8 | GGA-PBE | relaxed

abc: 4.668 5.284 6.938
angles: 86.44 87.54 85.66
Space group P-1 (No. 2)
Asymmetric unit:
Na1 0.003 0.001 0.240
Zn1 0.500 0.500 0.000
Cd1 0.500 0.500 0.500
F1 0.148 0.764 0.507
F2 0.178 0.737 0.006
F3 0.350 0.295 0.754
F4 0.351 0.298 0.217



The records above give, respectively, uncorrected formation energy values of -3.17 -2.13 -2.13 -2.01 eV per atom.
The records above give, respectively, E values of -96.85 -45.00 -90.61 -43.96 eV for the cell shown.